The following is a PBEsol calculation of a relaxed InNiOs2 crystal, from Alexandria via LeMat-Bulk.

a b c (Å): 2.8301 4.4886 4.6013
angles (deg): 90.00 90.00 90.00
Atoms (fractional coordinates):
In1 0.0000 0.0000 0.0000
Ni1 0.5000 0.5000 0.0000
Os1 0.0000 0.5000 0.5000
Os2 0.5000 0.0000 0.5000

Computed properties:
SG: No. 47
Crystal system: orthorhombic
Formation energy, eV per atom: 0.493
Density, g/cm3: 15.74

---

The following is a PBEsol calculation of a relaxed InNiOs2 crystal, from Alexandria via LeMat-Bulk.

a b c (Å): 3.7646 3.7646 4.0989
angles (deg): 90.00 90.00 90.00
Atoms (fractional coordinates):
In1 0.0000 0.0000 0.0000
Ni1 0.5000 0.5000 0.0000
Os1 0.0000 0.5000 0.5000
Os2 0.5000 0.0000 0.5000

Computed properties:
SG: No. 123
Crystal system: tetragonal
Formation energy, eV per atom: 0.526
Density, g/cm3: 15.84

---

The following is a PBEsol calculation of a relaxed InNiOs3 crystal, from Alexandria via LeMat-Bulk.

a b c (Å): 4.4212 4.4212 4.4212
angles (deg): 90.00 90.00 90.00
Atoms (fractional coordinates):
In1 0.0000 0.0000 0.0000
Ni1 0.5000 0.5000 0.5000
Os1 0.0000 0.5000 0.5000
Os2 0.5000 0.0000 0.5000
Os3 0.5000 0.5000 0.0000

Computed properties:
E above lowest polymorph, eV/atom: 0.000
SG: No. 221
Crystal system: cubic
Formation energy, eV per atom: 1.812
Density, g/cm3: 14.30

---

The following is a PBEsol calculation of a relaxed InNiOs2 crystal, from Alexandria via LeMat-Bulk.

a b c (Å): 2.7647 4.2449 5.1458
angles (deg): 90.00 102.96 90.00
Atoms (fractional coordinates):
In1 0.0000 0.0000 0.0000
Ni1 0.0000 0.0000 0.5000
Os1 0.3610 0.5000 0.7207
Os2 0.6390 0.5000 0.2793

Computed properties:
SG: No. 10
Crystal system: monoclinic
Formation energy, eV per atom: 0.487
Density, g/cm3: 15.63

---

The following is a PBEsol calculation of a relaxed InNiP crystal, from Alexandria via LeMat-Bulk.

a b c (Å): 3.2019 3.2019 5.4562
angles (deg): 90.00 90.00 120.00
Atoms (fractional coordinates):
In1 0.0000 0.0000 0.0000
Ni1 0.3333 0.6667 0.6365
P1 0.6667 0.3333 0.4181

Computed properties:
SG: No. 156
Crystal system: trigonal
Formation energy, eV per atom: -0.123
Density, g/cm3: 7.01

---

The following is a PBEsol calculation of a relaxed In2Ni21P6 crystal, from Alexandria via LeMat-Bulk.

a b c (Å): 7.7503 7.7503 7.7503
angles (deg): 60.00 60.00 60.00
Atoms (fractional coordinates):
In1 0.2500 0.2500 0.2500
In2 0.7500 0.7500 0.7500
Ni1 0.0000 0.0000 0.0000
Ni2 0.0000 0.0000 0.3479
Ni3 0.0000 0.0000 0.6521
Ni4 0.0000 0.3479 0.0000
Ni5 0.0000 0.3479 0.6521
Ni6 0.0000 0.6521 0.0000
Ni7 0.0000 0.6521 0.3479
Ni8 0.1540 0.6153 0.6153
Ni9 0.3479 0.0000 0.0000
Ni10 0.3479 0.0000 0.6521
Ni11 0.3479 0.6521 0.0000
Ni12 0.3847 0.3847 0.3847
Ni13 0.3847 0.3847 0.8460
Ni14 0.3847 0.8460 0.3847
Ni15 0.6153 0.1540 0.6153
Ni16 0.6153 0.6153 0.1540
Ni17 0.6153 0.6153 0.6153
Ni18 0.6521 0.0000 0.0000
Ni19 0.6521 0.0000 0.3479
Ni20 0.6521 0.3479 0.0000
Ni21 0.8460 0.3847 0.3847
P1 0.2623 0.2623 0.7377
P2 0.2623 0.7377 0.2623
P3 0.2623 0.7377 0.7377
P4 0.7377 0.2623 0.2623
P5 0.7377 0.2623 0.7377
P6 0.7377 0.7377 0.2623

Computed properties:
SG: No. 225
Crystal system: cubic
Formation energy, eV per atom: -0.460
Density, g/cm3: 8.31

---

The following is a PBEsol calculation of a relaxed InNiP3 crystal, from Alexandria via LeMat-Bulk.

a b c (Å): 4.4285 4.4285 4.4285
angles (deg): 90.00 90.00 90.00
Atoms (fractional coordinates):
In1 0.0000 0.0000 0.0000
Ni1 0.5000 0.5000 0.5000
P1 0.0000 0.5000 0.5000
P2 0.5000 0.0000 0.5000
P3 0.5000 0.5000 0.0000

Computed properties:
SG: No. 221
Crystal system: cubic
Formation energy, eV per atom: 0.457
Density, g/cm3: 5.09

---

The following is a PBEsol calculation of a relaxed InNiPPt2 crystal, from Alexandria via LeMat-Bulk.

a b c (Å): 4.5517 4.5517 4.5515
angles (deg): 90.00 90.00 90.00
Atoms (fractional coordinates):
In1 0.0000 0.0000 0.0000
Ni1 0.0000 0.0000 0.5000
P1 0.5000 0.5000 0.0000
Pt1 0.0000 0.5000 0.5000
Pt2 0.5000 0.0000 0.5000

Computed properties:
SG: No. 123
Crystal system: tetragonal
Formation energy, eV per atom: 0.918
Density, g/cm3: 10.47

---

Number 1: total magnetization 0.002 Bohr magnetons per cell. Number 2: total magnetization 0.001 Bohr magnetons per cell. Number 3: total magnetization 3.379 Bohr magnetons per cell. Number 4: total magnetization 0.001 Bohr magnetons per cell. Number 5: total magnetization 0.000 Bohr magnetons per cell. Number 6: total magnetization 0.000 Bohr magnetons per cell. Number 7: total magnetization 0.001 Bohr magnetons per cell. Number 8: total magnetization 0.389 Bohr magnetons per cell.